Density functional theory data (PBE) for an optimized crystal structure of PaV6.

Calculated formation energy: 1471 meV/atom

a b c (Å): 5.6268 5.6268 5.6268
angles (deg): 109.47 109.47 109.47
Closest atoms and distances in Å follow each position.
Fractional positions:
V1 0.5000 0.2500 0.7500  4 V 2.30
V2 0.7500 0.2500 0.5000  4 V 2.30
V3 0.7500 0.5000 0.2500  4 V 2.30
V4 0.2500 0.7500 0.5000  4 V 2.30
V5 0.5000 0.7500 0.2500  4 V 2.30
V6 0.2500 0.5000 0.7500  4 V 2.30
Pa1 0.0000 0.0000 0.0000  24 V 3.63